No. 1
# Na2YAg9

A geometry-optimized Na2YAg9 structure (PBE, the Alexandria database).

a b c (Å): 9.981 9.981 9.981
angles (deg): 32.42 32.42 32.42
Positions (direct):
Na 0.145 0.145 0.145
Na 0.855 0.855 0.855
Y 0.000 0.000 0.000
Ag 0.083 0.584 0.584
Ag 0.333 0.333 0.333
Ag 0.416 0.416 0.917
Ag 0.416 0.917 0.416
Ag 0.500 0.500 0.500
Ag 0.584 0.083 0.584
Ag 0.584 0.584 0.083
Ag 0.667 0.667 0.667
Ag 0.917 0.416 0.416


No. 2
# NaYAg2

A geometry-optimized NaYAg2 structure (PBE, the Alexandria database).

Summary:
E above lowest polymorph	0.15	eV per formula unit

a b c (Å): 5.070 5.070 5.070
angles (deg): 60.00 60.00 60.00
Positions (direct):
Na 0.000 0.000 0.000
Y 0.500 0.500 0.500
Ag 0.250 0.250 0.250
Ag 0.750 0.750 0.750


No. 3
# NaY2Ag2

A geometry-optimized NaY2Ag2 structure (PBE, the Alexandria database).

Summary:
E above lowest polymorph	0.98	eV per formula unit

a b c (Å): 6.851 6.851 6.851
angles (deg): 136.85 136.85 62.66
Positions (direct):
Na 0.000 0.000 0.000
Y 0.250 0.750 0.500
Y 0.750 0.250 0.500
Ag 0.386 0.386 0.000
Ag 0.614 0.614 0.000


No. 4
# NaY2Ag2

A geometry-optimized NaY2Ag2 structure (PBE, the Alexandria database).

Summary:
E above lowest polymorph	0.48	eV per formula unit

a b c (Å): 8.744 8.744 3.437
angles (deg): 90.00 90.00 90.00
Positions (direct):
Na 0.000 0.000 0.000
Na 0.500 0.500 0.000
Y 0.146 0.354 0.000
Y 0.354 0.854 0.000
Y 0.646 0.146 0.000
Y 0.854 0.646 0.000
Ag 0.146 0.646 0.500
Ag 0.354 0.146 0.500
Ag 0.646 0.854 0.500
Ag 0.854 0.354 0.500


No. 5
# Na2YAg2

A geometry-optimized Na2YAg2 structure (PBE, the Alexandria database).

Summary:
E above lowest polymorph	0.00	eV per formula unit

a b c (Å): 7.933 7.933 7.933
angles (deg): 150.22 150.22 42.63
Positions (direct):
Na 0.250 0.750 0.500
Na 0.750 0.250 0.500
Y 0.000 0.000 0.000
Ag 0.406 0.406 0.000
Ag 0.594 0.594 0.000


No. 6
# NaY3Ag

A geometry-optimized NaY3Ag structure (PBE, the Alexandria database).

Summary:
E above lowest polymorph	3.35	eV per formula unit

a b c (Å): 5.522 5.522 5.522
angles (deg): 90.00 90.00 90.00
Positions (direct):
Na 0.000 0.000 0.000
Y 0.000 0.000 0.500
Y 0.000 0.500 0.000
Y 0.500 0.000 0.000
Ag 0.500 0.500 0.500


No. 7
# NaYAg2

A geometry-optimized NaYAg2 structure (PBE, the Alexandria database).

Summary:
E above lowest polymorph	1.28	eV per formula unit

a b c (Å): 6.451 6.451 6.451
angles (deg): 103.66 103.66 121.86
Positions (direct):
Na 0.000 0.000 0.000
Na 0.750 0.250 0.500
Y 0.250 0.750 0.500
Y 0.500 0.500 0.000
Ag 0.111 0.125 0.486
Ag 0.375 0.889 0.014
Ag 0.639 0.625 0.514
Ag 0.875 0.361 0.986


No. 8
# NaY2Ag2

A geometry-optimized NaY2Ag2 structure (PBE, the Alexandria database).

Summary:
E above lowest polymorph	0.00	eV per formula unit

a b c (Å): 8.376 8.376 3.714
angles (deg): 90.00 90.00 90.00
Positions (direct):
Na 0.000 0.000 0.000
Na 0.500 0.500 0.000
Y 0.160 0.340 0.500
Y 0.340 0.840 0.500
Y 0.660 0.160 0.500
Y 0.840 0.660 0.500
Ag 0.132 0.632 0.000
Ag 0.368 0.132 0.000
Ag 0.632 0.868 0.000
Ag 0.868 0.368 0.000


| no. | VASP energy (eV per cell) | ΔH_f (0 K) (meV per atom) |
| --- | --- | --- |
| 1 | -35.68 | -76 |
| 2 | -13.93 | -111 |
| 3 | -19.69 | 53 |
| 4 | -40.39 | -49 |
| 5 | -14.91 | -22 |
| 6 | -18.71 | 970 |
| 7 | -25.58 | 174 |
| 8 | -41.34 | -144 |